(1)
Crystalline TlGaSn2 at its relaxed geometry, computed with PBE-GGA.

Summary:
**Energy above the lowest structure with this stoichiometry**: 0.81 eV per formula unit
**Total magnetic moment**: 0.0 μB per formula unit
**DFT formation energy**: 0.228 eV per atom

a = 6.5687 Å, b = 6.5687 Å, c = 12.7616 Å
α = 90.00°, β = 90.00°, γ = 90.00°
Closest atoms and distances in Å follow each position.
Space group I-42d (No. 122)
Symmetry-distinct sites (fractional):
Tl: 0.0000 0.0000 0.0000 [4 per cell]  4 Sn 2.96
Ga: 0.0000 0.0000 0.5000 [4 per cell]  4 Sn 2.68
Sn: 0.2134 0.2500 0.6250 [8 per cell]  2 Ga 2.68, 2 Tl 2.96

***

(2)
Crystalline TlGa2Sn2 at its relaxed geometry, computed with PBE-GGA.

Summary:
**Energy above the lowest structure with this stoichiometry**: 0.13 eV per formula unit
**Total magnetic moment**: 0.0 μB per formula unit
**DFT formation energy**: 0.050 eV per atom

a = 8.5329 Å, b = 8.5329 Å, c = 3.4637 Å
α = 90.00°, β = 90.00°, γ = 90.00°
Closest atoms and distances in Å follow each position.
Space group P4/mbm (No. 127)
Symmetry-distinct sites (fractional):
Tl: 0.0000 0.0000 0.0000 [2 per cell]  4 Ga 3.30, 2 Tl 3.46, 8 Sn 3.66
Ga: 0.1386 0.3614 0.0000 [4 per cell]  6 Sn 3.03-3.05, 2 Tl 3.30, 1 Ga 3.34
Sn: 0.1550 0.6550 0.5000 [4 per cell]  6 Ga 3.03-3.05

***

(3)
Crystalline Tl2GaSn at its relaxed geometry, computed with PBE-GGA.

Summary:
**Energy above the lowest structure with this stoichiometry**: 0.15 eV per formula unit
**Total magnetic moment**: 0.0 μB per formula unit
**DFT formation energy**: 0.088 eV per atom

a = 7.6282 Å, b = 7.6282 Å, c = 7.6282 Å
α = 90.00°, β = 90.00°, γ = 90.00°
Closest atoms and distances in Å follow each position.
Space group Fm-3m (No. 225)
Symmetry-distinct sites (fractional):
Tl: 0.2500 0.2500 0.2500 [8 per cell]  4 Sn 3.30, 4 Ga 3.30
Ga: 0.0000 0.0000 0.0000 [4 per cell]  8 Tl 3.30
Sn: 0.0000 0.0000 0.5000 [4 per cell]  8 Tl 3.30

***

(4)
Crystalline Tl12GaSn2 at its relaxed geometry, computed with PBE-GGA.

Summary:
**Total magnetic moment**: 0.0 μB per formula unit
**DFT formation energy**: 0.150 eV per atom

a = 6.5367 Å, b = 6.5367 Å, c = 23.7070 Å
α = 90.00°, β = 90.00°, γ = 90.00°
Closest atoms and distances in Å follow each position.
Space group P4/nbm (No. 125, origin choice 2)
Symmetry-distinct sites (fractional):
Tl: 0.0020 0.5020 0.0890 [8 per cell]  2 Ga 3.12-3.14, 4 Tl 3.27, 2 Sn 3.36-3.39
Tl: 0.0747 0.5747 0.5628 [8 per cell]  8 Tl 3.24-3.41
Tl: 0.2500 0.2500 0.2038 [4 per cell]  1 Tl 3.18, 4 Sn 3.28
Tl: 0.2500 0.2500 0.3378 [4 per cell]  5 Tl 3.18-3.37
Ga: 0.2500 0.7500 0.0000 [2 per cell]  8 Tl 3.12-3.14
Sn: 0.2500 0.7500 0.1929 [4 per cell]  8 Tl 3.28-3.39

***

(5)
Crystalline TlGa12Sn6 at its relaxed geometry, computed with PBE-GGA.

Summary:
**Total magnetic moment**: 0.0 μB per formula unit
**DFT formation energy**: 0.091 eV per atom

a = 13.1152 Å, b = 13.1152 Å, c = 9.2672 Å
α = 90.00°, β = 90.00°, γ = 120.00°
Closest atoms and distances in Å follow each position.
Space group R-3m (No. 166, hexagonal axes)
Symmetry-distinct sites (fractional):
Tl: 0.0000 0.0000 0.0000 [3 per cell]  6 Ga 3.17
Ga: 0.0000 0.3959 0.5000 [18 per cell]  1 Ga 2.73, 4 Sn 2.90-2.97
Ga: 0.0738 0.1475 0.2899 [18 per cell]  4 Ga 2.90-3.16, 4 Sn 2.93-3.20, 1 Tl 3.17
Sn: 0.0432 0.5216 0.2202 [18 per cell]  8 Ga 2.90-3.20

***

(6)
Crystalline Tl3Ga8Sn3 at its relaxed geometry, computed with PBE-GGA.

Summary:
**Energy above the lowest structure with this stoichiometry**: 0.00 eV per formula unit
**Total magnetic moment**: 0.0 μB per formula unit
**DFT formation energy**: 0.032 eV per atom

a = 4.6715 Å, b = 10.5415 Å, c = 13.7009 Å
α = 90.00°, β = 90.00°, γ = 90.00°
Closest atoms and distances in Å follow each position.
Space group Immm (No. 71)
Symmetry-distinct sites (fractional):
Tl: 0.0000 0.0000 0.0000 [2 per cell]  12 Ga 3.50-3.53, 4 Sn 3.84
Tl: 0.0000 0.0000 0.3023 [4 per cell]  10 Ga 3.26-3.45, 4 Sn 3.50-3.58
Ga: 0.0000 0.2650 0.1579 [8 per cell]  3 Ga 2.70-2.78
Ga: 0.0000 0.3776 0.3346 [8 per cell]  4 Ga 2.58-2.78, 1 Sn 2.87
Sn: 0.0000 0.2110 0.5000 [4 per cell]  6 Ga 2.87-3.19
Sn: 0.0000 0.5000 0.0000 [2 per cell]  4 Sn 3.23, 4 Ga 3.29, 4 Tl 3.58

***

| no. | final energy (eV/atom) |
| --- | --- |
| 1 | -3.1216 |
| 2 | -3.2351 |
| 3 | -2.8530 |
| 4 | -2.4787 |
| 5 | -3.2097 |
| 6 | -3.0624 |